(1)
TmTh4Zn5 after structural relaxation, computed with GGA-PBE.

DOS(E_F), states/eV per atom: 0.73
Total magnetization, μB per cell: 0.00
Energy relative to the elements, eV/f.u.: -2.06

The structure in CIF format:
```
data_TmTh4Zn5
_space_group_name_H-M_alt 'P 4/m m m'
_space_group_IT_number 123
_space_group_name_Hall '-P 4 2'
_cell_length_a 3.623
_cell_length_b 3.623
_cell_length_c 18.330
_cell_angle_alpha 90.00
_cell_angle_beta 90.00
_cell_angle_gamma 90.00
loop_
_atom_site_label
_atom_site_fract_x
_atom_site_fract_y
_atom_site_fract_z
Tm1 0.000 0.000 0.000
Th1 0.000 0.000 0.196
Th2 0.000 0.000 0.399
Zn1 0.500 0.500 0.088
Zn2 0.500 0.500 0.297
Zn3 0.500 0.500 0.500
```


(2)
Mg2B2O5 after structural relaxation, computed with GGA-PBE.

Excess energy over the best structure of this formula in the dataset, eV/f.u.: 0.00
DOS(E_F), states/eV per atom: 0.00
Uncorrected formation energy, eV/atom: -2.63
Total magnetization, μB per cell: 0.00

The structure in CIF format:
```
data_Mg2B2O5
_space_group_name_H-M_alt 'P -1'
_space_group_IT_number 2
_cell_length_a 3.159
_cell_length_b 6.216
_cell_length_c 9.312
_cell_angle_alpha 104.58
_cell_angle_beta 90.58
_cell_angle_gamma 91.89
loop_
_space_group_symop_operation_xyz
'x,y,z'
'-x,-y,-z'
loop_
_atom_site_label
_atom_site_fract_x
_atom_site_fract_y
_atom_site_fract_z
Mg1 0.233 0.210 0.356
Mg2 0.266 0.628 0.897
B1 0.163 0.120 0.831
B2 0.200 0.681 0.356
O1 0.066 0.861 0.299
O2 0.235 0.304 0.947
O3 0.241 0.477 0.258
O4 0.268 0.725 0.504
O5 0.274 0.907 0.819
```